Computed, not measured: an optimized crystal structure of ScTcMo2 at the GGA-PBEsol level of DFT.

The structure in extended XYZ format:
```
4
Lattice="-0.355 0.043 3.118 -2.733 -3.435 -0.265 5.078 -1.149 -0.985" Properties=species:S:1:pos:R:3 pbc="T T T"
Sc -1.367 -1.718 -0.132
Mo 0.309 -3.189 1.658
Mo 1.681 -1.353 0.210
Tc -0.178 0.021 1.559
```

Computed properties:
Total moment = 0.00 μB/f.u.
Calculated volume = 62.9 Å³/f.u.
Final energy = -10.4337 eV per atom
Formation energy = -0.082 eV per atom